SrAl6Au12, optimized geometry, DFT GGA-PBE; space group = R-3; theoretical density = 12.08 g cm⁻³; ΔH_f (0 K) = -0.3256 eV per atom; offset from the most stable computed form = 0.0422 eV/atom
1.0
6.628 3.827 2.360
-6.628 3.827 2.360
0.000 -7.654 2.360
Sr Al Au
1 6 12
Cartesian
0.000 0.000 0.000 Sr
-1.799 -2.809 2.082 Al
-1.533 2.963 2.082 Al
-3.332 0.154 4.999 Al
3.332 -0.154 2.082 Al
1.533 -2.963 4.999 Al
1.799 2.809 4.999 Al
-4.011 2.030 2.427 Au
0.248 -4.488 2.427 Au
-2.235 -0.289 2.629 Au
-3.763 -2.458 4.654 Au
1.368 -1.791 2.629 Au
-0.867 -2.080 4.452 Au
0.867 2.080 2.629 Au
-1.368 1.791 4.452 Au
3.763 2.458 2.427 Au
2.235 0.289 4.452 Au
-0.248 4.488 4.654 Au
4.011 -2.030 4.654 Au

=====

Sc6Ge2Te3Se, optimized geometry, DFT GGA-PBE; space group = C2/m; theoretical density = 5.21 g cm⁻³; raw formation energy = -1.169 eV per atom
1.0
8.845 -2.002 0.000
8.845 2.002 0.000
-2.040 0.000 7.888
Sc Ge Te Se
6 2 3 1
Cartesian
-0.287 0.000 1.884 Sc
4.886 0.000 3.434 Sc
4.133 0.000 7.040 Sc
11.517 0.000 0.847 Sc
10.765 0.000 4.454 Sc
15.938 0.000 6.004 Sc
2.280 0.000 2.626 Ge
13.370 0.000 5.262 Ge
1.198 0.000 6.581 Te
7.825 0.000 3.944 Te
14.453 0.000 1.307 Te
8.845 0.000 0.000 Se

=====

K2BaSc, optimized geometry, DFT GGA-PBE; space group = Pmmm; theoretical density = 2.17 g cm⁻³; ΔH_f (0 K) = 0.5300 eV per atom; offset from the most stable computed form = 0.1691 eV/atom
1.0
3.776 0.000 0.000
0.000 6.923 0.000
0.000 0.000 7.632
K Ba Sc
2 1 1
Cartesian
0.000 0.000 1.781 K
0.000 0.000 5.851 K
1.888 3.462 3.816 Ba
1.888 3.462 0.000 Sc

=====

Fe2NiRh, optimized geometry, DFT GGA-PBE; space group = I4/mmm; theoretical density = 9.12 g cm⁻³; ΔH_f (0 K) = -0.0343 eV per atom
1.0
3.707 0.000 0.000
0.000 3.707 0.000
0.000 0.000 7.238
Fe Ni Rh
4 2 2
Cartesian
0.000 1.854 1.810 Fe
0.000 1.854 5.429 Fe
1.854 0.000 1.810 Fe
1.854 0.000 5.429 Fe
0.000 0.000 0.000 Ni
1.854 1.854 3.619 Ni
0.000 0.000 3.619 Rh
1.854 1.854 0.000 Rh

=====

Sc6Te3C2S, optimized geometry, DFT GGA-PBE; space group = C2/m; theoretical density = 5.05 g cm⁻³; raw formation energy = -1.090 eV per atom
1.0
3.196 -5.538 0.000
3.196 5.538 0.000
-2.132 0.000 6.585
Sc Te C S
6 3 2 1
Cartesian
-0.092 2.004 5.345 Sc
0.887 0.000 1.219 Sc
-0.092 -2.004 5.345 Sc
4.354 2.004 1.240 Sc
3.375 0.000 5.366 Sc
4.354 -2.004 1.240 Sc
-1.066 0.000 3.293 Te
2.131 1.778 3.293 Te
2.131 -1.778 3.293 Te
3.196 3.686 0.000 C
3.196 -3.686 0.000 C
3.196 0.000 0.000 S

=====

CeNdSn, optimized geometry, DFT GGA-PBE; space group = I4/mmm; theoretical density = 7.19 g cm⁻³; ΔH_f (0 K) = -0.3108 eV per atom; offset from the most stable computed form = 0.2521 eV/atom
1.0
3.876 0.000 0.000
0.000 3.876 0.000
0.000 0.000 24.779
Ce Nd Sn
4 4 4
Cartesian
0.000 0.000 5.501 Ce
0.000 0.000 19.278 Ce
1.938 1.938 6.889 Ce
1.938 1.938 17.890 Ce
0.000 0.000 1.811 Nd
0.000 0.000 22.967 Nd
1.938 1.938 10.578 Nd
1.938 1.938 14.201 Nd
0.000 0.000 8.751 Sn
0.000 0.000 16.027 Sn
1.938 1.938 3.638 Sn
1.938 1.938 21.141 Sn

=====

What did the fourth record say?
Fe2NiRh, optimized geometry, DFT GGA-PBE; space group = I4/mmm; theoretical density = 9.12 g cm⁻³; ΔH_f (0 K) = -0.0343 eV per atom
1.0
3.707 0.000 0.000
0.000 3.707 0.000
0.000 0.000 7.238
Fe Ni Rh
4 2 2
Cartesian
0.000 1.854 1.810 Fe
0.000 1.854 5.429 Fe
1.854 0.000 1.810 Fe
1.854 0.000 5.429 Fe
0.000 0.000 0.000 Ni
1.854 1.854 3.619 Ni
0.000 0.000 3.619 Rh
1.854 1.854 0.000 Rh